No. 1
! Cs2KSeF PBE optimized geometry; values from VASP
&SYSTEM
  ibrav = 0, nat = 5, ntyp = 4
/
ATOMIC_SPECIES
K 39.10 K.upf
F 19.00 F.upf
Se 78.96 Se.upf
Cs 132.91 Cs.upf
CELL_PARAMETERS angstrom
-0.6402 1.7611 5.4519
1.5850 -5.2173 1.8714
5.0731 1.5726 0.0877
ATOMIC_POSITIONS angstrom
K 2.5365 0.7863 0.0439
F 0.0000 0.0000 0.0000
Se 3.0089 -0.9418 3.7055
Cs -0.3201 0.8805 2.7260
Cs 0.7925 -2.6087 0.9357
! - Space-group type: P4/mmm, No. 123

No. 2
! Cs2KSeF6 PBE optimized geometry; values from VASP
&SYSTEM
  ibrav = 0, nat = 10, ntyp = 4
/
ATOMIC_SPECIES
F 19.00 F.upf
K 39.10 K.upf
Cs 132.91 Cs.upf
Se 78.96 Se.upf
CELL_PARAMETERS angstrom
-3.0387 -6.0606 -0.7683
5.5747 -3.1019 2.4201
-0.4022 -4.2804 5.0587
ATOMIC_POSITIONS angstrom
F 0.3161 -4.4098 3.2384
F 1.8177 -9.0331 3.4722
F 1.9462 -7.0317 1.2677
F 3.5715 -3.7900 1.6786
F 0.5898 -2.1308 0.3841
F -1.0356 -5.3725 -0.0268
K 1.2680 -4.5812 0.8259
Cs 3.2202 -5.9818 4.1524
Cs -1.0865 -7.4612 2.5582
Se 0.0000 0.0000 0.0000
! - Space-group type: I4/mmm, No. 139
! - ΔE to the lowest computed polymorph: 0.00 eV/f.u.

No. 3
! Cs2KSeF6 PBE optimized geometry; values from VASP
&SYSTEM
  ibrav = 0, nat = 20, ntyp = 4
/
ATOMIC_SPECIES
K 39.10 K.upf
Cs 132.91 Cs.upf
F 19.00 F.upf
Se 78.96 Se.upf
CELL_PARAMETERS angstrom
6.9768 0.0000 0.0000
3.4884 6.0421 0.0000
3.4884 2.0140 10.5815
ATOMIC_POSITIONS angstrom
K 6.9769 4.0281 8.2643
K 6.9768 4.0281 2.3173
Cs 3.4884 2.0140 2.2142
Cs 10.4653 6.0421 4.2122
Cs 3.4884 2.0140 6.3693
Cs 10.4653 6.0421 8.3674
F 9.0652 5.2338 1.1287
F 9.0652 2.8224 9.4528
F 6.9768 1.9844 6.3287
F 6.9768 6.0718 4.2529
F 5.2069 5.0499 6.3287
F 6.9769 1.6167 1.1287
F 4.8885 2.8224 9.4528
F 8.7468 3.0062 4.2529
F 5.2069 3.0062 4.2529
F 4.8885 5.2338 1.1287
F 8.7468 5.0499 6.3287
F 6.9768 6.4395 9.4528
Se 6.9768 4.0281 5.2908
Se 0.0000 0.0000 0.0000
! - Space-group type: R-3m, No. 166
! - ΔE to the lowest computed polymorph: 0.06 eV/f.u.

No. 4
! CsKSeF6 PBE optimized geometry; values from VASP
&SYSTEM
  ibrav = 0, nat = 9, ntyp = 4
/
ATOMIC_SPECIES
F 19.00 F.upf
Cs 132.91 Cs.upf
K 39.10 K.upf
Se 78.96 Se.upf
CELL_PARAMETERS angstrom
5.7493 0.0000 0.0000
0.0000 6.4307 0.0000
0.0000 -3.2154 5.5692
ATOMIC_POSITIONS angstrom
F 3.9902 5.5912 1.3911
F 3.9902 2.4304 4.1466
F 1.7592 0.8395 1.3911
F 3.9902 1.6244 0.0315
F 1.7592 4.8063 0.0315
F 1.7592 4.0003 4.1466
Cs 0.0000 0.0000 3.7128
K 2.8747 3.2154 1.8564
Se 2.8747 0.0000 0.0000
! - Space-group type: P312, No. 149

Q: Which energy values were calculated for the entries above? A: -3.2844, -3.9419, -3.9360, -4.1342, in eV per atom.
Q: Which formation energy from raw total energies values were calculated for the entries above? A: -1652, -2190, -2184, -2283, in meV per atom.